This record from the Alexandria database describes a relaxed MnP2WO crystal. The functional is PBE with a Hubbard U.

Cell and atoms, written as POSCAR:
```
MnP2WO
1.0
4.9036 0.0000 0.0000
0.0000 4.9036 0.0000
0.0000 0.0000 3.8200
P Mn W O
2 1 1 1
Cartesian
2.4518 0.0000 0.0000
0.0000 2.4518 0.0000
2.4518 2.4518 1.9100
0.0000 0.0000 0.0000
0.0000 0.0000 1.9100
```

Computed properties:
Energy relative to the lowest polymorph listed for this composition ... 0.0000 eV/atom
M_tot ... 5.2 μB per formula unit
Calculated volume ... 91.9 Å³ per cell
Total DFT energy (no corrections) ... -31.0 eV for the cell shown